(1)
The following is a PBE calculation of an optimized crystal structure of K3PmAs2O8, from the Alexandria database.

extended XYZ file:
```
14
Lattice="6.016 0.000 0.000 -3.008 5.210 0.000 0.000 0.000 7.789" Properties=species:S:1:pos:R:3 pbc="T T T"
K 0.000 0.000 0.000
K 0.000 3.474 5.432
K 3.008 1.737 2.357
Pm 0.000 0.000 3.894
As 0.000 3.474 1.849
As 3.008 1.737 5.940
O 0.000 1.866 2.512
O -1.392 4.277 2.512
O 0.000 3.474 0.173
O 1.616 0.933 5.277
O 1.392 4.277 2.512
O 3.008 1.737 7.616
O 4.400 0.933 5.277
O 3.008 3.344 5.277
```

space group: P-3m1, No. 164



(2)
The following is a PBE calculation of an optimized crystal structure of KPm3As4O12, from the Alexandria database.

extended XYZ file:
```
20
Lattice="5.854 3.380 3.088 -5.854 3.380 3.088 0.000 -6.759 3.088" Properties=species:S:1:pos:R:3 pbc="T T T"
K 0.000 0.000 0.000
Pm -3.297 -1.049 3.088
Pm 2.557 -2.330 3.088
Pm 0.740 3.380 3.088
As -2.496 -4.324 4.631
As 0.000 0.000 4.631
As -2.496 4.324 4.631
As 4.993 0.000 4.631
O -1.367 -1.717 1.993
O -4.948 0.000 4.631
O -0.803 2.042 1.993
O -1.943 0.000 4.631
O 2.170 -0.326 1.993
O 2.474 -4.285 4.631
O 0.972 -1.683 4.631
O -0.803 -2.042 7.270
O 0.972 1.683 4.631
O -1.367 1.717 7.270
O 2.474 4.285 4.631
O 2.170 0.326 7.270
```

space group: R32, No. 155



(3)
The following is a PBE calculation of an optimized crystal structure of KPrAs2O6, from the Alexandria database.

extended XYZ file:
```
20
Lattice="5.179 -5.085 0.000 5.179 5.085 0.000 -2.655 0.000 6.420" Properties=species:S:1:pos:R:3 pbc="T T T"
K 3.188 3.034 4.815
K 4.515 -3.034 1.605
Pr 4.515 1.061 1.605
Pr 3.188 -1.061 4.815
As 0.029 0.732 4.872
As 1.356 -0.732 1.662
As 6.347 0.732 4.759
As 7.674 -0.732 1.548
O 2.864 2.685 1.924
O 1.647 0.148 0.025
O 0.320 -0.148 3.235
O 1.668 0.781 5.585
O 6.167 2.685 1.286
O 2.996 -0.781 2.375
O 4.708 0.781 4.045
O 1.536 -2.685 5.134
O 6.035 -0.781 0.835
O 7.383 0.148 3.185
O 6.056 -0.148 6.395
O 4.840 -2.685 4.496
```

space group: C2/c, No. 15



(4)
The following is a PBE calculation of an optimized crystal structure of K3Pr3AsO8, from the Alexandria database.

extended XYZ file:
```
15
Lattice="3.537 2.042 6.341 -3.537 2.042 6.341 0.000 -4.084 6.341" Properties=species:S:1:pos:R:3 pbc="T T T"
K -1.768 -1.021 6.341
K -1.768 1.021 12.683
K 0.000 2.042 6.341
Pr -3.537 0.000 9.512
Pr -1.768 1.021 3.171
Pr 1.768 1.021 3.171
As 0.000 0.000 9.512
O 0.000 0.000 4.398
O -1.508 -0.871 10.600
O 0.000 -1.742 8.424
O -1.508 0.871 8.424
O 1.508 -0.871 10.600
O 0.000 1.742 10.600
O 1.508 0.871 8.424
O 0.000 0.000 14.626
```

space group: R-3m, No. 166



(5)
The following is a PBE calculation of an optimized crystal structure of KPrAsO4, from the Alexandria database.

extended XYZ file:
```
14
Lattice="-3.255 3.555 4.823 3.255 -3.555 4.823 3.255 3.555 -4.823" Properties=species:S:1:pos:R:3 pbc="T T T"
K -1.628 1.778 2.412
K 1.628 1.778 2.412
Pr 0.000 0.000 0.000
Pr 0.000 3.555 0.000
As 3.255 1.778 -1.363
As 0.000 1.778 6.186
O 3.255 -0.340 2.370
O 3.255 3.216 -2.370
O 1.782 1.778 -0.298
O 4.729 1.778 -0.298
O -1.473 1.778 5.122
O 1.473 1.778 5.122
O 0.000 0.340 7.193
O 0.000 3.895 2.454
```

space group: Imma, No. 74



(6)
The following is a PBE calculation of an optimized crystal structure of K2PrAs2O6, from the Alexandria database.

extended XYZ file:
```
11
Lattice="5.020 -3.062 0.000 5.020 3.062 0.000 -3.315 0.000 6.599" Properties=species:S:1:pos:R:3 pbc="T T T"
K 1.503 0.000 1.128
K 5.223 0.000 5.470
Pr -1.658 0.000 3.299
As 1.814 0.000 5.175
As 4.912 0.000 1.423
O 3.860 1.413 1.607
O 0.670 0.000 3.839
O 2.865 1.413 4.992
O 3.860 -1.413 1.607
O 6.055 0.000 2.760
O 2.865 -1.413 4.992
```

space group: C2/m, No. 12



(7)
The following is a PBE calculation of an optimized crystal structure of KAsPtO4, from the Alexandria database.

extended XYZ file:
```
7
Lattice="0.000 4.413 4.413 4.413 0.000 4.413 4.413 4.413 0.000" Properties=species:S:1:pos:R:3 pbc="T T T"
K 0.000 0.000 0.000
As 4.413 4.413 4.413
Pt 6.619 6.619 6.619
O 5.419 3.407 3.407
O 3.407 5.419 3.407
O 3.407 3.407 5.419
O 5.419 5.419 5.419
```

space group: F-43m, No. 216



(8)
The following is a PBE calculation of an optimized crystal structure of KAs2PtO8, from the Alexandria database.

extended XYZ file:
```
12
Lattice="2.673 1.543 8.701 -2.673 1.543 8.701 0.000 -3.087 8.701" Properties=species:S:1:pos:R:3 pbc="T T T"
K 0.000 0.000 0.000
As 0.000 0.000 6.147
As 0.000 0.000 19.956
Pt 0.000 0.000 13.052
O -1.074 -1.060 11.732
O 0.000 0.000 7.827
O -0.381 -1.461 14.372
O -1.074 1.060 14.372
O -0.381 1.461 11.732
O 1.455 -0.400 11.732
O 0.000 0.000 18.277
O 1.455 0.400 14.372
```

space group: R32, No. 155



(9)
The following is a PBE calculation of an optimized crystal structure of K2PuAsO6, from the Alexandria database.

extended XYZ file:
```
10
Lattice="0.000 4.049 4.049 4.049 0.000 4.049 4.049 4.049 0.000" Properties=species:S:1:pos:R:3 pbc="T T T"
K 2.024 2.024 2.024
K 6.073 6.073 6.073
Pu 0.000 0.000 0.000
As 4.049 4.049 4.049
O 4.049 4.049 2.149
O 4.049 2.149 4.049
O 5.948 4.049 4.049
O 2.149 4.049 4.049
O 4.049 5.948 4.049
O 4.049 4.049 5.948
```

space group: Fm-3m, No. 225



(10)
The following is a PBE calculation of an optimized crystal structure of K3PuAs2O8, from the Alexandria database.

extended XYZ file:
```
14
Lattice="6.029 0.000 0.000 -3.015 5.222 0.000 0.000 0.000 7.783" Properties=species:S:1:pos:R:3 pbc="T T T"
K 0.000 0.000 0.000
K 0.000 3.481 5.426
K 3.015 1.741 2.357
Pu 0.000 0.000 3.891
As 0.000 3.481 1.851
As 3.015 1.741 5.932
O 0.000 1.861 2.509
O -1.403 4.291 2.509
O 0.000 3.481 0.174
O 1.612 0.931 5.274
O 1.403 4.291 2.509
O 3.015 1.741 7.609
O 4.418 0.931 5.274
O 3.015 3.360 5.274
```

space group: P-3m1, No. 164



(11)
The following is a PBE calculation of an optimized crystal structure of KPuAsO5, from the Alexandria database.

extended XYZ file:
```
16
Lattice="3.742 -4.951 0.000 3.742 4.951 0.000 -3.278 0.000 7.208" Properties=species:S:1:pos:R:3 pbc="T T T"
K 1.284 3.295 5.406
K 2.922 -3.295 1.802
Pu 3.742 0.000 0.000
Pu 2.103 0.000 3.604
As 2.922 3.131 1.802
As 1.284 -3.131 5.406
O -1.592 0.774 6.474
O 1.835 2.139 2.718
O 0.047 -0.774 2.870
O 4.010 2.139 0.886
O 1.284 0.640 5.406
O 2.922 -0.640 1.802
O 0.196 -2.139 6.322
O 4.159 0.774 4.338
O 2.372 -2.139 4.490
O 5.798 -0.774 0.734
```

space group: C2/c, No. 15



(12)
The following is a PBE calculation of an optimized crystal structure of KPu2AsO8, from the Alexandria database.

extended XYZ file:
```
12
Lattice="5.060 0.000 0.000 0.000 6.920 0.000 -0.239 0.000 5.063" Properties=species:S:1:pos:R:3 pbc="T T T"
K 0.000 0.000 0.000
Pu 2.411 1.773 2.532
Pu 2.411 5.147 2.532
As 0.000 3.460 0.000
O 1.077 1.980 1.115
O 1.077 4.940 1.115
O 1.344 3.460 3.538
O 1.540 0.000 3.346
O 3.281 0.000 1.717
O 3.478 3.460 1.525
O 3.745 1.980 3.948
O 3.745 4.940 3.948
```

space group: P2/m, No. 10



Short version: N(E_F) = 0.00, 4.49, 3.82, 1.58, 1.79, 1.08, 0.74, 11.08, 9.65, 7.58, 8.05, 2.55 states/eV per cell, in the order given.
Short version: uncorrected formation energy = -1.992, -1.790, -1.839, -2.239, -1.848, -1.887, -0.634, -0.847, -1.921, -1.874, -2.124, -2.001 eV per atom, in the order given.